The following is a DFT calculation (GGA-PBE) of a relaxed structure of Li2AcPr2Ga2.

```
7
Lattice="-4.4634 1.5365 0.8433 -3.7296 -2.2529 -2.0020 -3.2841 -5.9206 7.0379" Properties=species:S:1:pos:R:3 pbc="T T T"
Ac 0.0000 0.0000 0.0000
Ga -8.6171 -5.0727 4.5336
Ga -2.8600 -1.5642 1.3457
Pr -3.0705 -3.7261 4.1705
Pr -8.4067 -2.9109 1.7088
Li -5.5857 -1.7483 0.8879
Li -5.8914 -4.8887 4.9913
```

N(E_F) (states/eV/atom): 0.7708
Raw total energy (eV/atom): -3.647
ΔE_f (meV/atom): -283
Magnetic moment (μB per cell): 0.0
SG: R-3m, No. 166